{"formula": "V3CoS6", "functional": "PBE", "state": "relaxed", "total_magnetization_mub_per_atom": 0.221, "energy_ev_per_atom": -6.538, "dos_ef_per_ev_cell": 10.79, "formation_energy_uncorrected_ev_per_atom": -0.6154, "sg": "No. 36", "lattice_angstrom": [[4.792, -5.831, 0.000], [4.792, 5.831, 0.000], [0.000, 0.000, 5.688]], "species": ["V", "V", "V", "V", "V", "V", "Co", "Co", "S", "S", "S", "S", "S", "S", "S", "S", "S", "S", "S", "S"], "fractional_positions": [[0.101, 0.899, 0.500], [0.216, 0.434, 0.594], [0.434, 0.216, 0.094], [0.566, 0.784, 0.594], [0.784, 0.566, 0.094], [0.899, 0.101, 0.000], [0.291, 0.709, 0.165], [0.709, 0.291, 0.665], [0.042, 0.602, 0.344], [0.137, 0.192, 0.296], [0.192, 0.137, 0.796], [0.271, 0.729, 0.776], [0.398, 0.958, 0.344], [0.472, 0.528, 0.240], [0.528, 0.472, 0.740], [0.602, 0.042, 0.844], [0.729, 0.271, 0.276], [0.808, 0.863, 0.296], [0.863, 0.808, 0.796], [0.958, 0.398, 0.844]]}